[1]
The following is a GGA-PBE calculation of an optimized crystal structure of Ba2CoCu, from Alexandria.

```
Ba2CoCu
1.0
-0.489 0.006 -3.569
-3.526 -0.560 0.482
-1.401 8.997 0.208
Ba Co Cu
2 1 1
Direct
0.000 0.000 0.901
0.500 0.500 0.343
0.000 0.000 0.594
0.500 0.500 0.662
```

- energy of formation from the pure elements (eV per atom) = 0.42

***

[2]
The following is a GGA-PBE calculation of an optimized crystal structure of Hf2GaAgBr, from Alexandria.

```
Hf2GaAgBr
1.0
5.220 0.000 0.000
0.000 5.122 0.000
0.000 0.000 5.220
Ga Hf Br Ag
1 2 1 1
Direct
0.500 0.500 0.500
0.000 0.000 0.500
0.500 0.000 0.000
0.000 0.500 0.000
0.000 0.000 0.000
```

- uncorrected formation energy (meV/atom) = 1140

***

[3]
The following is a GGA-PBE calculation of an optimized crystal structure of Ho3PuTh2P6, from Alexandria.

```
Ho3PuTh2P6
1.0
-0.710 -3.995 -0.119
0.595 0.135 -8.049
8.638 0.447 2.645
Ho Pu Th P
3 1 2 6
Direct
0.500 0.500 0.000
0.833 0.166 0.667
0.167 0.834 0.333
0.500 0.000 0.000
0.835 0.670 0.671
0.165 0.330 0.329
0.333 0.923 0.666
0.665 0.588 0.331
0.667 0.077 0.334
0.998 0.248 0.995
0.002 0.752 0.005
0.335 0.412 0.669
```

- energy of formation from the pure elements (eV per atom) = -1.52

***

[4]
The following is a GGA-PBE calculation of an optimized crystal structure of Rb3Pm3GaO8, from Alexandria.

```
Rb3Pm3GaO8
1.0
-5.213 3.474 -3.188
1.708 -6.484 -2.111
-3.726 0.626 6.775
Rb Pm Ga O
3 3 1 8
Direct
0.000 0.000 0.000
0.000 0.500 0.000
0.500 0.500 0.000
0.500 0.000 0.500
0.500 0.500 0.500
0.000 0.500 0.500
0.000 0.000 0.500
0.274 0.548 0.322
0.726 0.452 0.678
0.795 0.590 0.335
0.205 0.410 0.665
0.795 0.040 0.335
0.205 0.960 0.665
0.245 0.040 0.335
0.755 0.960 0.665
```

- uncorrected formation energy (meV/atom) = -2261

***

[5]
The following is a GGA-PBE calculation of an optimized crystal structure of Ta3NbRe3, from Alexandria.

```
Ta3NbRe3
1.0
-1.905 6.020 -0.301
-5.193 -1.815 -3.113
-3.024 -0.685 5.443
Ta Nb Re
6 2 6
Direct
0.250 0.250 0.500
0.265 0.735 0.500
0.735 0.265 0.500
0.248 0.752 0.000
0.752 0.248 0.000
0.750 0.750 0.500
0.269 0.269 0.000
0.731 0.731 0.000
0.000 0.000 0.750
0.500 0.000 0.250
0.000 0.500 0.250
0.500 0.000 0.750
0.000 0.500 0.750
0.000 0.000 0.250
```

- energy of formation from the pure elements (eV per atom) = -0.03

***

[6]
The following is a GGA-PBE calculation of an optimized crystal structure of CoTcNi2, from Alexandria.

```
CoTcNi2
1.0
8.436 -0.003 -0.002
8.041 2.550 -0.002
8.041 1.243 2.226
Co Ni Tc
1 2 1
Direct
0.750 0.750 0.750
0.003 0.003 0.003
0.497 0.497 0.497
0.250 0.250 0.250
```

- energy of formation from the pure elements (eV per atom) = 0.13

***

[7]
The following is a GGA-PBE calculation of an optimized crystal structure of CaAg10Pd2, from Alexandria.

```
CaAg10Pd2
1.0
-2.839 1.052 -4.591
-7.047 0.796 1.247
-0.498 7.189 -1.339
Ca Ag Pd
1 10 2
Direct
0.000 0.000 0.000
0.349 0.644 0.657
0.651 0.356 0.343
0.993 0.356 0.657
0.007 0.644 0.343
0.000 0.000 0.500
0.500 0.000 0.500
0.283 0.218 0.215
0.717 0.782 0.785
0.502 0.782 0.215
0.498 0.218 0.785
0.000 0.500 0.000
0.500 0.500 0.000
```

- energy of formation from the pure elements (eV per atom) = -0.09

***

[8]
The following is a GGA-PBE calculation of an optimized crystal structure of AlCu2Tc, from Alexandria.

```
AlCu2Tc
1.0
-0.602 -1.903 1.725
2.423 -1.008 -0.266
2.449 4.386 5.694
Tc Cu Al
1 2 1
Direct
0.500 0.500 0.250
0.000 0.000 0.988
0.000 0.000 0.512
0.500 0.500 0.750
```

- energy of formation from the pure elements (eV per atom) = 0.05

***

no.,density (Mg/m³)
1,5.579
2,7.312
3,8.197
4,5.221
5,15.847
6,9.491
7,8.894
8,7.922